1.
Density functional theory data (SCAN) for La2TeRh at its PBEsol-relaxed geometry.

abc: 3.8829 4.6663 11.0711
angles: 90.00 90.00 90.00
With the nearest neighbours (Å) after each atom.
Space group Imm2 (No. 44)
Symmetry-distinct sites (fractional):
La  0.0000  0.0000  0.0000 [2 per cell]  4 Te 3.16, 2 Rh 3.17, 2 La 3.33
La  0.0000  0.5000  0.2144 [2 per cell]  4 Rh 3.04, 2 Te 3.27, 2 La 3.33
Te  0.0000  0.0000  0.4216 [2 per cell]  2 Rh 2.91, 4 La 3.16
Rh  0.0000  0.5000  0.7260 [2 per cell]  2 Te 2.91, 6 La 3.04-3.17

The polymorph energy (0 for the lowest one) comes out at 0.270 eV/atom. For the magnetization, the calculation gives 0.00 μB/f.u. The uncorrected formation energy comes out at -1.002 eV per atom.

2.
Density functional theory data (SCAN) for LaTeRh at its PBEsol-relaxed geometry.

abc: 4.4892 4.4892 4.0593
angles: 90.00 90.00 120.00
With the nearest neighbours (Å) after each atom.
Space group P3m1 (No. 156)
Symmetry-distinct sites (fractional):
La  0.0000  0.0000  0.0000 [1 per cell]  6 Rh 3.17-3.42, 6 Te 3.27-3.32
Te  0.3333  0.6667  0.5105 [1 per cell]  3 Rh 2.60
Rh  0.6667  0.3333  0.4503 [1 per cell]  3 Te 2.60

For the magnetization, the calculation gives 0.00 μB/f.u. The uncorrected formation energy comes out at -1.307 eV per atom.

3.
Density functional theory data (SCAN) for LaTeRh2 at its PBEsol-relaxed geometry.

abc: 8.4878 4.0364 5.4526
angles: 90.00 111.17 90.00
With the nearest neighbours (Å) after each atom.
Space group Cm (No. 8)
Symmetry-distinct sites (fractional):
La  0.0000  0.0000  0.0000 [2 per cell]  6 Rh 3.04-3.36, 4 Te 3.13-3.30
Te  0.2112  0.0000  0.6040 [2 per cell]  5 Rh 2.63-2.85
Rh  0.2800  0.5000  0.3494 [2 per cell]  3 Rh 2.57-2.68, 2 Te 2.63
Rh  0.4779  0.0000  0.4022 [2 per cell]  3 Rh 2.57-2.68, 3 Te 2.76-2.85

For the magnetization, the calculation gives 0.00 μB/f.u. The uncorrected formation energy comes out at -0.739 eV per atom.

4.
Density functional theory data (SCAN) for La2TiRh at its PBEsol-relaxed geometry.

abc: 7.1948 7.1948 7.1948
angles: 90.00 90.00 90.00
With the nearest neighbours (Å) after each atom.
Space group Fm-3m (No. 225)
Symmetry-distinct sites (fractional):
La  0.2500  0.2500  0.2500 [8 per cell]  4 Ti 3.12, 4 Rh 3.12
Ti  0.0000  0.0000  0.0000 [4 per cell]  8 La 3.12
Rh  0.0000  0.0000  0.5000 [4 per cell]  8 La 3.12

For the magnetization, the calculation gives 3.13 μB/f.u. The energy of formation is -7.92 kJ/mol of atoms.

5.
Density functional theory data (SCAN) for LaTi2Rh2 at its PBEsol-relaxed geometry.

abc: 4.2685 4.2685 10.5801
angles: 90.00 90.00 90.00
With the nearest neighbours (Å) after each atom.
Space group I4/mmm (No. 139)
Symmetry-distinct sites (fractional):
La  0.0000  0.0000  0.0000 [2 per cell]  8 Rh 3.30, 8 Ti 3.40
Ti  0.0000  0.5000  0.2500 [4 per cell]  4 Rh 2.51
Rh  0.0000  0.0000  0.3740 [4 per cell]  4 Ti 2.51, 1 Rh 2.67

For the magnetization, the calculation gives 0.00 μB/f.u. The energy of formation is -75.60 kJ/mol of atoms.

6.
Density functional theory data (SCAN) for LaTl2Rh at its PBEsol-relaxed geometry.

abc: 3.7784 4.1157 12.8917
angles: 90.00 90.00 90.00
With the nearest neighbours (Å) after each atom.
Space group Amm2 (No. 38)
Symmetry-distinct sites (fractional):
La  0.0000  0.0000  0.0000 [2 per cell]  4 Rh 2.85
Tl  0.0000  0.0000  0.2886 [2 per cell]  2 Rh 2.89, 4 Tl 3.17
Tl  0.5000  0.0000  0.6730 [2 per cell]  1 Rh 2.77
Rh  0.5000  0.0000  0.4580 [2 per cell]  3 Tl 2.77-2.89, 4 La 2.85

For the magnetization, the calculation gives 0.00 μB/f.u. The energy of formation is -42.46 kJ/mol of atoms.

7.
Density functional theory data (SCAN) for LaTlRh4 at its PBEsol-relaxed geometry.

abc: 7.4970 7.4970 7.4970
angles: 90.00 90.00 90.00
With the nearest neighbours (Å) after each atom.
Space group F-43m (No. 216)
Symmetry-distinct sites (fractional):
La  0.0000  0.0000  0.0000 [4 per cell]  12 Rh 3.11, 4 Tl 3.25
Tl  0.2500  0.2500  0.2500 [4 per cell]  12 Rh 3.11, 4 La 3.25
Rh  0.1242  0.1242  0.6242 [16 per cell]  6 Rh 2.63-2.67

For the magnetization, the calculation gives 0.00 μB/f.u. The energy of formation is -32.22 kJ/mol of atoms.

8.
Density functional theory data (SCAN) for La2TlRh at its PBEsol-relaxed geometry.

abc: 4.0187 4.7734 11.2175
angles: 90.00 90.00 90.00
With the nearest neighbours (Å) after each atom.
Space group Amm2 (No. 38)
Symmetry-distinct sites (fractional):
La  0.0000  0.0000  0.0000 [2 per cell]  1 Rh 2.52
La  0.5000  0.0000  0.3020 [2 per cell]  4 Rh 3.13, 3 Tl 3.30-3.32
Tl  0.5000  0.0000  0.5959 [2 per cell]  2 Rh 2.84
Rh  0.0000  0.0000  0.7752 [2 per cell]  1 La 2.52

The polymorph energy (0 for the lowest one) comes out at 0.029 eV/atom. For the magnetization, the calculation gives 0.00 μB/f.u. The energy of formation is -63.30 kJ/mol of atoms.